ScCdOs2 | PBE | relaxed

Calculated formation energy ... 0.28 eV per atom
Space-group type ... R3m (160)
M_tot ... 0.0 μB per formula unit

a = 9.545 Å, b = 9.545 Å, c = 9.545 Å
α = 17.58°, β = 17.58°, γ = 17.58°
Fractional coordinates of all 4 atoms:
Sc (0.000, 0.000, 0.000)
Cd (0.238, 0.238, 0.238)
Os (0.485, 0.485, 0.485)
Os (0.747, 0.747, 0.747)

ScCdOs2 | PBE | relaxed

Calculated formation energy ... -0.02 eV per atom
Space-group type ... P4mm (99)
M_tot ... 0.0 μB per formula unit

a = 2.884 Å, b = 2.884 Å, c = 8.352 Å
α = 90.00°, β = 90.00°, γ = 90.00°
Fractional coordinates of all 4 atoms:
Sc (0.000, 0.000, 0.000)
Cd (0.500, 0.500, 0.297)
Os (0.000, 0.000, 0.560)
Os (0.500, 0.500, 0.755)

ScCdOs2 | PBE | relaxed

Calculated formation energy ... 0.35 eV per atom
Space-group type ... Cmmm (65)
M_tot ... 0.0 μB per formula unit

a = 4.912 Å, b = 4.912 Å, c = 2.990 Å
α = 90.00°, β = 90.00°, γ = 110.86°
Fractional coordinates of all 4 atoms:
Sc (0.000, 0.000, 0.000)
Cd (0.500, 0.500, 0.000)
Os (0.000, 0.500, 0.500)
Os (0.500, 0.000, 0.500)

Sc4CdOs | PBE | relaxed

Energy above the lowest structure with this stoichiometry ... 163.6 meV/atom
Calculated formation energy ... -0.08 eV per atom
Space-group type ... C2/m (12)
M_tot ... 0.0 μB per formula unit

a = 4.718 Å, b = 4.718 Å, c = 8.039 Å
α = 107.06°, β = 107.06°, γ = 59.79°
Fractional coordinates of all 6 atoms:
Sc (0.114, 0.114, 0.341)
Sc (0.365, 0.365, 0.093)
Sc (0.635, 0.635, 0.907)
Sc (0.886, 0.886, 0.659)
Cd (0.500, 0.500, 0.500)
Os (0.000, 0.000, 0.000)

Sc4CdOs | PBE | relaxed

Energy above the lowest structure with this stoichiometry ... 0.0 meV/atom
Calculated formation energy ... -0.24 eV per atom
Space-group type ... P4/mmm (123)
M_tot ... 0.7 μB per formula unit

a = 3.254 Å, b = 3.254 Å, c = 12.192 Å
α = 90.00°, β = 90.00°, γ = 90.00°
Fractional coordinates of all 6 atoms:
Sc (0.000, 0.000, 0.126)
Sc (0.000, 0.000, 0.874)
Sc (0.500, 0.500, 0.332)
Sc (0.500, 0.500, 0.668)
Cd (0.000, 0.000, 0.500)
Os (0.500, 0.500, 0.000)

Sc4CdOs | PBE | relaxed

Energy above the lowest structure with this stoichiometry ... 666.9 meV/atom
Calculated formation energy ... 0.42 eV per atom
Space-group type ... F-43m (216)
M_tot ... 0.0 μB per formula unit

a = 5.545 Å, b = 5.545 Å, c = 5.545 Å
α = 60.00°, β = 60.00°, γ = 60.00°
Fractional coordinates of all 6 atoms:
Sc (0.378, 0.378, 0.378)
Sc (0.378, 0.378, 0.867)
Sc (0.378, 0.867, 0.378)
Sc (0.867, 0.378, 0.378)
Cd (0.000, 0.000, 0.000)
Os (0.750, 0.750, 0.750)

| no. | DFT total energy (eV/atom) |
| --- | --- |
| 1 | -7.1436 |
| 2 | -7.4465 |
| 3 | -7.0795 |
| 4 | -6.3261 |
| 5 | -6.4897 |
| 6 | -5.8229 |